! AcSmHoTm (PBE, optimized geometry); values from VASP
! total magnetization	0.0	μB per cell
! energy of formation from the pure elements	0.0691	eV/atom
&SYSTEM
  ibrav = 0, nat = 4, ntyp = 4
/
ATOMIC_SPECIES
Ho 164.93 Ho.upf
Ac 227.00 Ac.upf
Tm 168.93 Tm.upf
Sm 150.36 Sm.upf
ATOMIC_POSITIONS angstrom
Ho 1.304 -3.183 0.799
Ac -2.435 -1.412 4.020
Tm 0.925 -2.555 10.090
Sm -0.725 -0.966 7.405
CELL_PARAMETERS angstrom
-3.671 0.174 -0.161
1.708 -3.226 -0.441
1.266 -0.959 11.937



! AcSm6Ho2Tm (PBE, optimized geometry); values from VASP
! total magnetization	0.0	μB per cell
! energy of formation from the pure elements	0.1243	eV/atom
&SYSTEM
  ibrav = 0, nat = 20, ntyp = 4
/
ATOMIC_SPECIES
Ho 164.93 Ho.upf
Sm 150.36 Sm.upf
Ac 227.00 Ac.upf
Tm 168.93 Tm.upf
ATOMIC_POSITIONS angstrom
Ho 5.538 -0.031 1.217
Sm 1.351 -0.781 6.141
Sm 9.752 5.169 -1.588
Ac 3.255 7.919 -2.264
Sm 4.272 6.973 1.161
Sm 2.223 4.813 2.538
Ho 10.158 2.195 3.527
Ho 0.945 2.193 1.026
Ac 7.848 -3.531 6.818
Sm 5.944 5.191 -1.566
Tm 7.848 2.662 0.849
Sm 8.865 -0.074 5.999
Tm 3.255 1.725 3.704
Sm 4.286 3.005 0.662
Sm 8.879 -0.426 2.015
Sm 2.238 4.461 -1.446
Sm 5.159 -0.803 6.119
Ho 5.565 4.419 3.336
Sm 6.816 1.383 3.892
Sm 6.831 -2.585 3.392
CELL_PARAMETERS angstrom
9.186 -1.951 -2.024
0.958 8.713 -2.053
0.958 -2.375 8.631



! AcSm4Ho2Tm (PBE, optimized geometry); values from VASP
! total magnetization	0.0	μB per cell
! energy of formation from the pure elements	0.0339	eV/atom
&SYSTEM
  ibrav = 0, nat = 8, ntyp = 4
/
ATOMIC_SPECIES
Sm 150.36 Sm.upf
Ac 227.00 Ac.upf
Ho 164.93 Ho.upf
Tm 168.93 Tm.upf
ATOMIC_POSITIONS angstrom
Sm 0.526 2.453 2.648
Sm 7.756 8.410 8.061
Ac 3.619 3.473 1.004
Ho 1.044 3.917 8.701
Ho 3.615 2.461 4.493
Sm 4.141 4.936 7.059
Tm 1.048 4.929 5.212
Sm 4.141 5.926 3.649
CELL_PARAMETERS angstrom
6.185 1.005 0.285
1.053 5.940 1.723
1.044 3.917 8.701



- What is the total magnetization in the third record?
  0.0 μB per cell